Entry 1:
DFT (PBE) results for crystalline CaRe3B at its relaxed geometry.

Calculated values
Uncorrected energy ... -8.69 eV/atom
Formation energy from the elements ... 0.51 eV/atom
Magnetic moment ... 0.00 μB per cell

Lattice parameters (Å, degrees): 4.264 4.264 4.264 90.00 90.00 90.00
Element x y z (fractional)
Ca1 0.000 0.000 0.000
Re1 0.000 0.500 0.500
Re2 0.500 0.000 0.500
Re3 0.500 0.500 0.000
B1 0.500 0.500 0.500

Entry 2:
DFT (PBE) results for crystalline CaReB2 at its relaxed geometry.

Calculated values
Uncorrected energy ... -6.62 eV/atom
Formation energy from the elements ... 0.33 eV/atom
Magnetic moment ... 0.00 μB per cell

Lattice parameters (Å, degrees): 4.583 4.583 13.560 90.00 90.00 90.00
Element x y z (fractional)
Ca1 0.000 0.250 0.375
Ca2 0.000 0.750 0.625
Ca3 0.500 0.250 0.125
Ca4 0.500 0.750 0.875
Re1 0.000 0.250 0.875
Re2 0.000 0.750 0.125
Re3 0.500 0.250 0.625
Re4 0.500 0.750 0.375
B1 0.000 0.000 0.000
B2 0.000 0.500 0.000
B3 0.250 0.250 0.750
B4 0.250 0.750 0.250
B5 0.500 0.000 0.500
B6 0.500 0.500 0.500
B7 0.750 0.250 0.750
B8 0.750 0.750 0.250

Entry 3:
DFT (PBE) results for crystalline Ca3ReB at its relaxed geometry.

Calculated values
Uncorrected energy ... -3.93 eV/atom
Formation energy from the elements ... 1.09 eV/atom
Magnetic moment ... 2.69 μB per cell

Lattice parameters (Å, degrees): 5.121 5.121 5.121 90.00 90.00 90.00
Element x y z (fractional)
Ca1 0.000 0.000 0.500
Ca2 0.000 0.500 0.000
Ca3 0.500 0.000 0.000
Re1 0.500 0.500 0.500
B1 0.000 0.000 0.000

Entry 4:
DFT (PBE) results for crystalline Ca2ReB at its relaxed geometry.

Calculated values
Uncorrected energy ... -5.24 eV/atom
Formation energy from the elements ... 0.54 eV/atom
Magnetic moment ... 3.30 μB per cell

Lattice parameters (Å, degrees): 10.109 10.109 4.080 90.00 90.00 90.00
Element x y z (fractional)
Ca1 0.072 0.250 0.125
Ca2 0.250 0.572 0.375
Ca3 0.250 0.928 0.875
Ca4 0.428 0.250 0.625
Ca5 0.572 0.750 0.625
Ca6 0.750 0.072 0.875
Ca7 0.750 0.428 0.375
Ca8 0.928 0.750 0.125
Re1 0.000 0.000 0.500
Re2 0.000 0.500 0.750
Re3 0.500 0.000 0.250
Re4 0.500 0.500 0.000
B1 0.000 0.000 0.000
B2 0.000 0.500 0.250
B3 0.500 0.000 0.750
B4 0.500 0.500 0.500

Entry 5:
DFT (PBE) results for crystalline Ca2ReB10 at its relaxed geometry.

Calculated values
Uncorrected energy ... -6.61 eV/atom
Formation energy from the elements ... -0.21 eV/atom
Magnetic moment ... 3.07 μB per cell

Lattice parameters (Å, degrees): 5.803 11.611 4.176 90.00 90.00 90.00
Element x y z (fractional)
Ca1 0.193 0.142 0.000
Ca2 0.307 0.642 0.000
Ca3 0.693 0.358 0.000
Ca4 0.807 0.858 0.000
Re1 0.000 0.500 0.500
Re2 0.500 0.000 0.500
B1 0.055 0.307 0.500
B2 0.119 0.957 0.500
B3 0.138 0.803 0.500
B4 0.220 0.381 0.200
B5 0.220 0.381 0.800
B6 0.280 0.881 0.200
B7 0.280 0.881 0.800
B8 0.362 0.303 0.500
B9 0.381 0.457 0.500
B10 0.445 0.807 0.500
B11 0.555 0.193 0.500
B12 0.619 0.543 0.500
B13 0.638 0.697 0.500
B14 0.720 0.119 0.200
B15 0.720 0.119 0.800
B16 0.780 0.619 0.200
B17 0.780 0.619 0.800
B18 0.862 0.197 0.500
B19 0.881 0.043 0.500
B20 0.945 0.693 0.500

Entry 6:
DFT (PBE) results for crystalline CaRe2BRu at its relaxed geometry.

Calculated values
Uncorrected energy ... -5.19 eV/atom
Formation energy from the elements ... 3.38 eV/atom
Magnetic moment ... 1.38 μB per cell

Lattice parameters (Å, degrees): 4.630 4.630 4.030 90.00 90.00 90.00
Element x y z (fractional)
Ca1 0.000 0.000 0.000
Re1 0.000 0.500 0.000
Re2 0.500 0.000 0.000
B1 0.000 0.000 0.500
Ru1 0.500 0.500 0.500

Q: Look up the magnetic moment of the first one.
A: 0.00 μB per cell

Q: Look up the magnetic moment of the third one.
A: 2.69 μB per cell

Q: Among the records above, which one has the lowest uncorrected energy?
A: CaRe3B

Q: Number 6 is which compound?
A: CaRe2BRu